1.
Computed, not measured: an optimized crystal structure of Ac3HoIn2 at the GGA-PBE level of DFT.

Calculated values
Final energy   -3.9901 eV per atom
ΔH_f (0 K)   -1.6 eV per formula unit
Total magnetic moment   0.00 μB per formula unit

Lattice parameters (Å, degrees): 9.5284 9.5284 9.5284 150.04 148.86 43.76
With the nearest neighbours (Å) after each atom.
Positions (direct):
Ac 0.0000 0.0000 0.0000  4 In 3.44, 4 Ho 3.55
Ac 0.1775 0.6775 0.5000  5 In 3.40-3.65
Ac 0.8225 0.3225 0.5000  5 In 3.40-3.65
Ho 0.5000 0.5000 0.0000  4 In 3.37, 4 Ac 3.55
In 0.3699 0.8699 0.5000  2 Ho 3.37, 7 Ac 3.40-3.65
In 0.6301 0.1301 0.5000  2 Ho 3.37, 7 Ac 3.40-3.65

2.
Computed, not measured: an optimized crystal structure of Cs4PuTh3S8 at the GGA-PBE level of DFT.

Calculated values
Final energy   -6.2062 eV per atom
Formation energy (no corrections)   -1.642 eV per atom
Total magnetic moment   6.47 μB per formula unit

Lattice parameters (Å, degrees): 9.4570 9.4570 9.4570 52.63 52.63 52.63
With the nearest neighbours (Å) after each atom.
Positions (direct):
Cs 0.0000 0.0000 0.0000  6 S 3.50
Cs 0.0000 0.5000 0.5000  6 S 3.50-3.53
Cs 0.5000 0.0000 0.5000  6 S 3.50-3.53
Cs 0.5000 0.5000 0.0000  6 S 3.50-3.53
Pu 0.5000 0.5000 0.5000  6 S 2.88
Th 0.0000 0.0000 0.5000  6 S 2.84-2.87
Th 0.0000 0.5000 0.0000  6 S 2.84-2.87
Th 0.5000 0.0000 0.0000  6 S 2.84-2.87
S 0.2250 0.7305 0.7305  2 Th 2.84, 1 Pu 2.88
S 0.2296 0.2296 0.2296  3 Th 2.87
S 0.2695 0.2695 0.7750  2 Th 2.84, 1 Pu 2.88
S 0.2695 0.7750 0.2695  2 Th 2.84, 1 Pu 2.88
S 0.7305 0.2250 0.7305  2 Th 2.84, 1 Pu 2.88
S 0.7305 0.7305 0.2250  2 Th 2.84, 1 Pu 2.88
S 0.7704 0.7704 0.7704  3 Th 2.87
S 0.7750 0.2695 0.2695  2 Th 2.84, 1 Pu 2.88

3.
Computed, not measured: an optimized crystal structure of K3PbS at the GGA-PBE level of DFT.

Calculated values
Final energy   -2.6258 eV per atom
Energy relative to the lowest polymorph listed for this composition   0.000 eV/atom
Formation energy (no corrections)   -0.400 eV per atom
Total magnetic moment   2.99 μB per formula unit

Lattice parameters (Å, degrees): 6.1135 6.1135 6.1135 90.00 90.00 90.00
With the nearest neighbours (Å) after each atom.
Positions (direct):
K 0.0000 0.0000 0.5000  2 S 3.06
K 0.0000 0.5000 0.0000  2 S 3.06
K 0.5000 0.0000 0.0000  2 S 3.06
Pb 0.5000 0.5000 0.5000  12 K 4.32
S 0.0000 0.0000 0.0000  6 K 3.06

4.
Computed, not measured: an optimized crystal structure of Pm12PrTl3 at the GGA-PBE level of DFT.

Calculated values
Final energy   -4.4448 eV per atom
ΔH_f (0 K)   -2.2 eV per formula unit
Total magnetic moment   0.00 μB per formula unit

Lattice parameters (Å, degrees): 4.9771 4.9771 20.4438 90.00 90.00 90.00
With the nearest neighbours (Å) after each atom.
Positions (direct):
Pm 0.0000 0.0000 0.0000  4 Tl 3.52, 8 Pm 3.52
Pm 0.0000 0.0000 0.2434  8 Pm 3.51-3.55, 4 Tl 3.52
Pm 0.0000 0.0000 0.5000  4 Pr 3.52, 8 Pm 3.68
Pm 0.0000 0.0000 0.7566  8 Pm 3.51-3.55, 4 Tl 3.52
Pm 0.0000 0.5000 0.1220  4 Tl 3.50-3.52, 8 Pm 3.51-3.52
Pm 0.0000 0.5000 0.3672  8 Pm 3.52-3.68, 2 Tl 3.56, 2 Pr 3.68
Pm 0.0000 0.5000 0.6328  8 Pm 3.52-3.68, 2 Tl 3.56, 2 Pr 3.68
Pm 0.0000 0.5000 0.8780  4 Tl 3.50-3.52, 8 Pm 3.51-3.52
Pm 0.5000 0.0000 0.1220  4 Tl 3.50-3.52, 8 Pm 3.51-3.52
Pm 0.5000 0.0000 0.3672  8 Pm 3.52-3.68, 2 Tl 3.56, 2 Pr 3.68
Pm 0.5000 0.0000 0.6328  8 Pm 3.52-3.68, 2 Tl 3.56, 2 Pr 3.68
Pm 0.5000 0.0000 0.8780  4 Tl 3.50-3.52, 8 Pm 3.51-3.52
Pr 0.5000 0.5000 0.5000  12 Pm 3.52-3.68
Tl 0.5000 0.5000 0.0000  12 Pm 3.52
Tl 0.5000 0.5000 0.2427  12 Pm 3.50-3.56
Tl 0.5000 0.5000 0.7573  12 Pm 3.50-3.56

5.
Computed, not measured: an optimized crystal structure of K3ZrS at the GGA-PBE level of DFT.

Calculated values
Final energy   -2.8379 eV per atom
Energy relative to the lowest polymorph listed for this composition   0.000 eV/atom
Formation energy (no corrections)   0.356 eV per atom
Total magnetic moment   3.00 μB per formula unit

Lattice parameters (Å, degrees): 6.1333 6.1333 6.1333 90.00 90.00 90.00
With the nearest neighbours (Å) after each atom.
Positions (direct):
K 0.0000 0.0000 0.5000  2 S 3.07
K 0.0000 0.5000 0.0000  2 S 3.07
K 0.5000 0.0000 0.0000  2 S 3.07
Zr 0.5000 0.5000 0.5000  12 K 4.34
S 0.0000 0.0000 0.0000  6 K 3.07

6.
Computed, not measured: an optimized crystal structure of Dy3Al7Pd2 at the GGA-PBE level of DFT.

Calculated values
Final energy   -4.8930 eV per atom
ΔH_f (0 K)   -8.3 eV per formula unit
Total magnetic moment   0.00 μB per formula unit

Lattice parameters (Å, degrees): 9.2342 9.2342 9.2342 34.72 34.72 34.72
With the nearest neighbours (Å) after each atom.
Positions (direct):
Dy 0.0000 0.0000 0.0000  6 Pd 3.18, 12 Al 3.45
Dy 0.1437 0.1437 0.1437  12 Al 3.22-3.26, 3 Dy 3.40
Dy 0.8563 0.8563 0.8563  12 Al 3.22-3.26, 3 Dy 3.40
Al 0.0730 0.5831 0.5831  2 Pd 2.59-2.64, 5 Al 2.70-2.81
Al 0.4169 0.4169 0.9270  2 Pd 2.59-2.64, 5 Al 2.70-2.81
Al 0.4169 0.9270 0.4169  2 Pd 2.59-2.64, 5 Al 2.70-2.81
Al 0.5000 0.5000 0.5000  6 Al 2.78
Al 0.5831 0.0730 0.5831  2 Pd 2.59-2.64, 5 Al 2.70-2.81
Al 0.5831 0.5831 0.0730  2 Pd 2.59-2.64, 5 Al 2.70-2.81
Al 0.9270 0.4169 0.4169  2 Pd 2.59-2.64, 5 Al 2.70-2.81
Pd 0.3357 0.3357 0.3357  6 Al 2.59-2.64
Pd 0.6643 0.6643 0.6643  6 Al 2.59-2.64

7.
Computed, not measured: an optimized crystal structure of Ca2PrMg2In2 at the GGA-PBE level of DFT.

Calculated values
Final energy   -2.7892 eV per atom
ΔH_f (0 K)   -2.1 eV per formula unit
Total magnetic moment   0.00 μB per formula unit

Lattice parameters (Å, degrees): 9.8031 9.8031 9.8031 29.91 29.91 29.91
With the nearest neighbours (Å) after each atom.
Positions (direct):
Ca 0.1292 0.1292 0.1292  4 In 3.34-3.73, 3 Mg 3.48, 3 Ca 3.60, 1 Pr 3.63
Ca 0.8708 0.8708 0.8708  4 In 3.34-3.73, 3 Mg 3.48, 3 Ca 3.60, 1 Pr 3.63
Pr 0.0000 0.0000 0.0000  6 Mg 3.39, 6 In 3.54, 2 Ca 3.63
Mg 0.3949 0.3949 0.3949  3 In 2.93
Mg 0.6051 0.6051 0.6051  3 In 2.93
In 0.2619 0.2619 0.2619  3 Mg 2.93
In 0.7381 0.7381 0.7381  3 Mg 2.93

8.
Computed, not measured: an optimized crystal structure of BeTl2RePb at the GGA-PBE level of DFT.

Calculated values
Final energy   -4.0931 eV per atom
ΔH_f (0 K)   4.1 eV per formula unit
Total magnetic moment   0.00 μB per formula unit

Lattice parameters (Å, degrees): 5.3503 5.3503 4.5108 90.00 90.00 90.00
With the nearest neighbours (Å) after each atom.
Positions (direct):
Be 0.0000 0.0000 0.0000  2 Re 2.26
Tl 0.0000 0.5000 0.5000  2 Re 2.68
Tl 0.5000 0.0000 0.5000  2 Re 2.68
Re 0.0000 0.0000 0.5000  2 Be 2.26
Pb 0.5000 0.5000 0.0000  8 Tl 3.50, 4 Be 3.78

9.
Computed, not measured: an optimized crystal structure of TaCu3 at the GGA-PBE level of DFT.

Calculated values
Final energy   -5.6558 eV per atom
ΔH_f (0 K)   1.5 eV per formula unit
Total magnetic moment   0.00 μB per formula unit

Lattice parameters (Å, degrees): 4.8227 4.8227 4.8227 90.00 90.00 90.00
With the nearest neighbours (Å) after each atom.
Positions (direct):
Ta 0.0000 0.0000 0.0000  12 Cu 2.70
Ta 0.5000 0.5000 0.5000  12 Cu 2.70
Cu 0.0000 0.2500 0.5000  2 Cu 2.41, 4 Ta 2.70
Cu 0.0000 0.7500 0.5000  2 Cu 2.41, 4 Ta 2.70
Cu 0.2500 0.5000 0.0000  2 Cu 2.41, 4 Ta 2.70
Cu 0.5000 0.0000 0.2500  2 Cu 2.41, 4 Ta 2.70
Cu 0.5000 0.0000 0.7500  2 Cu 2.41, 4 Ta 2.70
Cu 0.7500 0.5000 0.0000  2 Cu 2.41, 4 Ta 2.70

10.
Computed, not measured: an optimized crystal structure of Li2AlW at the GGA-PBE level of DFT.

Calculated values
Final energy   -5.0259 eV per atom
ΔH_f (0 K)   0.4 eV per formula unit
Total magnetic moment   0.00 μB per formula unit

Lattice parameters (Å, degrees): 2.7024 2.7024 8.9714 90.00 90.00 90.00
With the nearest neighbours (Å) after each atom.
Positions (direct):
Li 0.0000 0.0000 0.0000  4 Li 2.70, 4 Al 2.88
Li 0.5000 0.5000 0.2848  4 Li 2.70, 4 W 2.94
Al 0.5000 0.5000 0.7604  4 Al 2.70, 4 W 2.79, 4 Li 2.88
W 0.0000 0.0000 0.5344  4 W 2.70, 4 Al 2.79, 4 Li 2.94

11.
Computed, not measured: an optimized crystal structure of Ca2TbPd4 at the GGA-PBE level of DFT.

Calculated values
Final energy   -4.7851 eV per atom
ΔH_f (0 K)   -4.1 eV per formula unit
Total magnetic moment   0.00 μB per formula unit

Lattice parameters (Å, degrees): 6.6863 6.6863 6.6863 132.77 132.77 69.02
With the nearest neighbours (Å) after each atom.
Positions (direct):
Ca 0.1826 0.1826 0.0000  4 Pd 2.75
Ca 0.8174 0.8174 0.0000  4 Pd 2.75
Tb 0.5000 0.5000 0.0000  8 Pd 3.01
Pd 0.1243 0.6243 0.5000  2 Pd 2.74-2.77, 2 Ca 2.75, 2 Tb 3.01
Pd 0.3757 0.8757 0.5000  2 Pd 2.74-2.77, 2 Ca 2.75, 2 Tb 3.01
Pd 0.6243 0.1243 0.5000  2 Pd 2.74-2.77, 2 Ca 2.75, 2 Tb 3.01
Pd 0.8757 0.3757 0.5000  2 Pd 2.74-2.77, 2 Ca 2.75, 2 Tb 3.01

12.
Computed, not measured: an optimized crystal structure of ZrZnTe2 at the GGA-PBE level of DFT.

Calculated values
Final energy   -4.1907 eV per atom
Formation energy (no corrections)   -0.164 eV per atom
Total magnetic moment   0.00 μB per formula unit

Lattice parameters (Å, degrees): 6.0261 6.0261 6.0261 138.88 138.88 59.55
With the nearest neighbours (Å) after each atom.
Positions (direct):
Zr 0.0000 0.0000 0.0000  4 Te 2.99
Zn 0.7500 0.2500 0.5000  4 Te 2.99
Te 0.2500 0.7500 0.5000  4 Zn 2.99
Te 0.5000 0.5000 0.0000  4 Zr 2.99

13.
Computed, not measured: an optimized crystal structure of ZrHOs2 at the GGA-PBE level of DFT.

Calculated values
Final energy   -7.6637 eV per atom
Energy relative to the lowest polymorph listed for this composition   0.764 eV/atom
Total magnetic moment   0.00 μB per formula unit

Lattice parameters (Å, degrees): 4.3613 4.3613 4.3613 60.00 60.00 60.00
With the nearest neighbours (Å) after each atom.
Positions (direct):
Zr 0.0000 0.0000 0.0000  8 Os 2.67
H 0.5000 0.5000 0.5000  8 Os 2.67
Os 0.2500 0.2500 0.2500  4 H 2.67, 4 Zr 2.67
Os 0.7500 0.7500 0.7500  4 Zr 2.67, 4 H 2.67